No. 1
First-principles (PBE) data for a geometry-optimized Y2Tm2Zn structure, as listed in Alexandria.

It has space group I4_1/amd (No. 141, origin choice 2), with a = 4.939 Å, b = 4.939 Å, c = 24.122 Å, α = 90.00°, β = 90.00° and γ = 90.00°. The distinct sites, in fractional coordinates, are Y at (0.000, 0.250, 0.053), Tm at (0.000, 0.250, 0.195) and Zn at (0.000, 0.250, 0.875).

The value obtained for the density of states at the Fermi level is 8.87 states/eV/f.u. For the total energy, the calculation gives -4.6196 eV per atom. The energy relative to the lowest polymorph listed for this composition is 129.1 meV/atom. For the formation energy from the elements, the calculation gives 9 meV per atom.

=====

No. 2
First-principles (PBE) data for a geometry-optimized YTm2Zn6 structure, as listed in Alexandria.

It has space group P6/mmm (No. 191), with a = 7.7061 Å, b = 7.7061 Å, c = 3.4702 Å, α = 90.00°, β = 90.00° and γ = 120.00°. The distinct sites, in fractional coordinates, are Y at (0.0000, 0.0000, 0.0000), Tm at (0.3333, 0.6667, 0.0000) and Zn at (0.0000, 0.3346, 0.5000).

The value obtained for the density of states at the Fermi level is 5.80 states/eV/f.u. For the total energy, the calculation gives -2.9469 eV per atom. For the formation energy from the elements, the calculation gives -386 meV per atom.

=====

No. 3
First-principles (PBE) data for a geometry-optimized YTm2Zn structure, as listed in Alexandria.

It has space group R-3m (No. 166, hexagonal axes), with a = 3.4462 Å, b = 3.4462 Å, c = 33.5643 Å, α = 90.00°, β = 90.00° and γ = 120.00°. The distinct sites, in fractional coordinates, are Y at (0.0000, 0.0000, 0.0000), Tm at (0.0000, 0.0000, 0.1010) and Zn at (0.0000, 0.0000, 0.5000).

The value obtained for the density of states at the Fermi level is 5.60 states/eV/f.u. For the total energy, the calculation gives -4.0196 eV per atom. The energy relative to the lowest polymorph listed for this composition is 319.2 meV/atom. For the formation energy from the elements, the calculation gives 151 meV per atom.

=====

No. 4
First-principles (PBE) data for a geometry-optimized Y2TmZn structure, as listed in Alexandria.

It has space group P4/mmm (No. 123), with a = 5.250 Å, b = 5.250 Å, c = 3.918 Å, α = 90.00°, β = 90.00° and γ = 90.00°. The distinct sites, in fractional coordinates, are Y at (0.000, 0.500, 0.000), Tm at (0.000, 0.000, 0.500) and Zn at (0.500, 0.500, 0.500).

The value obtained for the density of states at the Fermi level is 5.21 states/eV/f.u. For the total energy, the calculation gives -4.6705 eV per atom. The energy relative to the lowest polymorph listed for this composition is 157.1 meV/atom. For the formation energy from the elements, the calculation gives -2 meV per atom.

=====

No. 5
First-principles (PBE) data for a geometry-optimized Y3Tm4Zr structure, as listed in Alexandria.

It has space group C2/m (No. 12), with a = 22.663 Å, b = 3.372 Å, c = 6.616 Å, α = 90.00°, β = 106.93° and γ = 90.00°. The distinct sites, in fractional coordinates, are Y at (0.000, 0.000, 0.000), Y at (0.121, 0.000, 0.383), Tm at (0.120, 0.000, 0.854), Tm at (0.241, 0.500, 0.745) and Zr at (0.000, 0.500, 0.500).

The value obtained for the density of states at the Fermi level is 13.77 states/eV/f.u. For the total energy, the calculation gives -5.5212 eV per atom. The energy relative to the lowest polymorph listed for this composition is 0.0 meV/atom. For the formation energy from the elements, the calculation gives 207 meV per atom.

=====

No. 6
First-principles (PBE) data for a geometry-optimized Y12Tm6Zr structure, as listed in Alexandria.

It has space group R-3 (No. 148, hexagonal axes), with a = 15.3620 Å, b = 15.3620 Å, c = 8.6274 Å, α = 90.00°, β = 90.00° and γ = 120.00°. The distinct sites, in fractional coordinates, are Y at (0.0356, 0.2805, 0.3384), Y at (0.0754, 0.5640, 0.6661), Tm at (0.0170, 0.1363, 0.6719) and Zr at (0.0000, 0.0000, 0.0000).

The value obtained for the density of states at the Fermi level is 28.29 states/eV/f.u. For the total energy, the calculation gives -5.9032 eV per atom. For the formation energy from the elements, the calculation gives 41 meV per atom.

=====

No. 7
First-principles (PBE) data for a geometry-optimized Y4Tm3Zr structure, as listed in Alexandria.

It has space group Cmmm (No. 65), with a = 5.532 Å, b = 25.868 Å, c = 3.467 Å, α = 90.00°, β = 90.00° and γ = 90.00°. The distinct sites, in fractional coordinates, are Y at (0.000, 0.100, 0.000), Y at (0.000, 0.222, 0.000), Tm at (0.000, 0.345, 0.500), Tm at (0.000, 0.500, 0.000) and Zr at (0.000, 0.000, 0.500).

The value obtained for the density of states at the Fermi level is 13.80 states/eV/f.u. For the total energy, the calculation gives -5.7642 eV per atom. For the formation energy from the elements, the calculation gives 213 meV per atom.

=====

No. 8
First-principles (PBE) data for a geometry-optimized Y2Tm3Zr2 structure, as listed in Alexandria.

It has space group Cmmm (No. 65), with a = 5.161 Å, b = 22.973 Å, c = 3.389 Å, α = 90.00°, β = 90.00° and γ = 90.00°. The distinct sites, in fractional coordinates, are Y at (0.000, 0.077, 0.000), Tm at (0.000, 0.343, 0.500), Tm at (0.000, 0.500, 0.500) and Zr at (0.000, 0.221, 0.000).

The value obtained for the density of states at the Fermi level is 10.41 states/eV/f.u. For the total energy, the calculation gives -6.1623 eV per atom. For the formation energy from the elements, the calculation gives 43 meV per atom.

=====

No. 9
First-principles (PBE) data for a geometry-optimized YTm4Zr structure, as listed in Alexandria.

It has space group P-1 (No. 2), with a = 3.437 Å, b = 5.956 Å, c = 9.148 Å, α = 96.46°, β = 100.76° and γ = 106.75°. The distinct sites, in fractional coordinates, are Y at (0.000, 0.000, 0.000), Tm at (0.155, 0.493, 0.818), Tm at (0.322, 0.985, 0.658) and Zr at (0.500, 0.500, 0.500).

The value obtained for the density of states at the Fermi level is 8.48 states/eV/f.u. For the total energy, the calculation gives -5.4282 eV per atom. The energy relative to the lowest polymorph listed for this composition is 0.0 meV/atom. For the formation energy from the elements, the calculation gives 55 meV per atom.

=====

No. 10
First-principles (PBE) data for a geometry-optimized Y6Tm12Zr structure, as listed in Alexandria.

It has space group R-3m (No. 166, hexagonal axes), with a = 12.9959 Å, b = 12.9959 Å, c = 12.3630 Å, α = 90.00°, β = 90.00° and γ = 120.00°. The distinct sites, in fractional coordinates, are Y at (0.0440, 0.5220, 0.1216), Tm at (0.0000, 0.2542, 0.0000), Tm at (0.0900, 0.1800, 0.7593) and Zr at (0.0000, 0.0000, 0.5000).

The value obtained for the density of states at the Fermi level is 36.28 states/eV/f.u. For the total energy, the calculation gives -5.0596 eV per atom. For the formation energy from the elements, the calculation gives 256 meV per atom.

=====

No. 11
First-principles (PBE) data for a geometry-optimized YTm6Zr2 structure, as listed in Alexandria.

It has space group P-6m2 (No. 187), with a = 3.4698 Å, b = 3.4698 Å, c = 25.1012 Å, α = 90.00°, β = 90.00° and γ = 120.00°. The distinct sites, in fractional coordinates, are Y at (0.0000, 0.0000, 0.0000), Tm at (0.0000, 0.0000, 0.2279), Tm at (0.0000, 0.0000, 0.4330), Tm at (0.3333, 0.6667, 0.1145) and Zr at (0.3333, 0.6667, 0.3318).

The value obtained for the density of states at the Fermi level is 16.70 states/eV/f.u. For the total energy, the calculation gives -5.5293 eV per atom. For the formation energy from the elements, the calculation gives 69 meV per atom.

=====

No. 12
First-principles (PBE) data for a geometry-optimized YTm4Zr structure, as listed in Alexandria.

It has space group C2/c (No. 15), with a = 8.752 Å, b = 14.020 Å, c = 6.201 Å, α = 90.00°, β = 109.33° and γ = 90.00°. The distinct sites, in fractional coordinates, are Y at (0.000, 0.091, 0.250), Tm at (0.095, 0.313, 0.538), Tm at (0.211, 0.119, 0.868) and Zr at (0.000, 0.497, 0.750).

The value obtained for the density of states at the Fermi level is 10.21 states/eV/f.u. For the total energy, the calculation gives -5.3581 eV per atom. The energy relative to the lowest polymorph listed for this composition is 70.1 meV/atom. For the formation energy from the elements, the calculation gives 125 meV per atom.

=====

Among the records above, which one has the highest formation energy from the elements?
Y6Tm12Zr

=====

The lowest formation energy from the elements belongs to which entry?
YTm2Zn6